one) This record from Alexandria via LeMat-Bulk describes an optimized crystal structure of Cr2NiW. The functional is PBE.

The space group is P4/mmm (No. 123) and the conventional cell measures 3.681, 3.681 and 3.721 Å, with angles of 90.00, 90.00 and 90.00 degrees. The inequivalent atoms are Cr at (0.000, 0.500, 0.000), Ni at (0.000, 0.000, 0.500) and W at (0.500, 0.500, 0.500).

The density is 11.4 g/cm3. As for the crystal system: tetragonal. The magnetization comes out at 0.0 Bohr magnetons per cell.

two) This record from Alexandria via LeMat-Bulk describes an optimized crystal structure of Cr2NiW. The functional is PBE.

The space group is P4mm (No. 99) and the conventional cell measures 3.008, 3.008 and 5.624 Å, with angles of 90.00, 90.00 and 90.00 degrees. The inequivalent atoms are Cr at (0.000, 0.000, 0.000), Cr at (0.500, 0.500, 0.227), Ni at (0.000, 0.000, 0.472) and W at (0.500, 0.500, 0.733).

The density is 11.3 g/cm3. As for the crystal system: tetragonal. The magnetization comes out at 1.0 Bohr magnetons per cell.

three) This record from Alexandria via LeMat-Bulk describes an optimized crystal structure of Cr2NiW. The functional is PBE.

The space group is P2/m (No. 10) and the conventional cell measures 2.531, 4.194 and 4.870 Å, with angles of 90.00, 98.99 and 90.00 degrees. The inequivalent atoms are Cr at (0.219, 0.000, 0.239), Ni at (0.500, 0.500, 0.000) and W at (0.000, 0.500, 0.500).

The density is 11.3 g/cm3. As for the crystal system: monoclinic. The magnetization comes out at 0.0 Bohr magnetons per cell.

four) This record from Alexandria via LeMat-Bulk describes an optimized crystal structure of Cr2NiW. The functional is PBE.

The space group is Cmm2 (No. 35) and the conventional cell measures 3.048, 4.152 and 8.068 Å, with angles of 90.00, 90.00 and 90.00 degrees. The inequivalent atoms are Cr at (0.000, 0.000, 0.000), Cr at (0.000, 0.500, 0.236), Ni at (0.000, 0.500, 0.763) and W at (0.000, 0.000, 0.504).

The density is 11.3 g/cm3. As for the crystal system: orthorhombic. The magnetization comes out at 0.0 Bohr magnetons per cell.

Most stable = four)

one) This record from Alexandria via LeMat-Bulk describes an optimized crystal structure of CrNiW2. The functional is PBE.

The space group is Pmm2 (No. 25) and the conventional cell measures 2.599, 3.936 and 5.491 Å, with angles of 90.00, 90.00 and 90.00 degrees. The inequivalent atoms are Cr at (0.000, 0.000, 0.000), Ni at (0.500, 0.500, 0.228), W at (0.000, 0.000, 0.465) and W at (0.500, 0.500, 0.750).

The density is 14.1 g/cm3. As for the crystal system: orthorhombic. The magnetization comes out at 0.0 Bohr magnetons per cell.

two) This record from Alexandria via LeMat-Bulk describes an optimized crystal structure of CrNiW2. The functional is PBE.

The space group is Pmmm (No. 47) and the conventional cell measures 2.619, 3.894 and 5.465 Å, with angles of 90.00, 90.00 and 90.00 degrees. The inequivalent atoms are Cr at (0.000, 0.000, 0.000), Ni at (0.000, 0.000, 0.500) and W at (0.500, 0.500, 0.251).

The density is 14.3 g/cm3. As for the crystal system: orthorhombic. The magnetization comes out at 0.0 Bohr magnetons per cell.

three) This record from Alexandria via LeMat-Bulk describes an optimized crystal structure of CrNiW2. The functional is PBE.

The space group is Cmm2 (No. 35) and the conventional cell measures 3.192, 4.238 and 8.239 Å, with angles of 90.00, 90.00 and 90.00 degrees. The inequivalent atoms are Cr at (0.000, 0.000, 0.000), Ni at (0.000, 0.500, 0.221), W at (0.000, 0.000, 0.467) and W at (0.000, 0.500, 0.746).

The density is 14.3 g/cm3. As for the crystal system: orthorhombic. The magnetization comes out at 0.0 Bohr magnetons per cell.

four) This record from Alexandria via LeMat-Bulk describes an optimized crystal structure of CrNiW2. The functional is PBE.

The space group is Cmmm (No. 65) and the conventional cell measures 3.131, 4.278 and 8.301 Å, with angles of 90.00, 90.00 and 90.00 degrees. The inequivalent atoms are Cr at (0.000, 0.000, 0.000), Ni at (0.000, 0.000, 0.500) and W at (0.000, 0.500, 0.253).

The density is 14.3 g/cm3. As for the crystal system: orthorhombic. The magnetization comes out at 0.0 Bohr magnetons per cell.

Most stable = four)